DFT (GGA+U) results for a relaxed K2FeAsO4 crystal.

Lattice parameters (Å, degrees): 11.6299 10.2325 6.7764 83.64 60.98 35.39
Element x y z (fractional)
K 0.0568 0.0568 0.6932
K 0.3068 0.3068 0.9432
K 0.6932 0.6932 0.0568
K 0.9432 0.9432 0.3068
Fe 0.1250 0.1250 0.1250
Fe 0.8750 0.8750 0.8750
As 0.3750 0.3750 0.3750
As 0.6250 0.6250 0.6250
O 0.0277 0.6433 0.5452
O 0.2837 0.5452 0.6433
O 0.3567 0.9723 0.7163
O 0.4548 0.7163 0.9723
O 0.5452 0.2837 0.0277
O 0.6433 0.0277 0.2837
O 0.7163 0.4548 0.3567
O 0.9723 0.3567 0.4548

Total DFT energy (no corrections), eV for the cell shown: -84.47
Space group: No. 70
M_tot, μB per cell: 7.30
DOS(E_F), states/eV/cell: 2.5
Calculated volume, Å³/f.u.: 169